Here is a geometry-optimized ErTm5Sc2In structure from the Alexandria database. Energies are from PBE.

Geometry as extended XYZ:
```
18
Lattice="2.6074 -9.6643 0.0000 2.6074 9.6643 0.0000 0.0000 0.0000 10.3481" Properties=species:S:1:pos:R:3 pbc="T T T"
Er 2.6074 5.7718 7.7610
Er 2.6074 -5.7718 2.5870
Tm 2.6074 9.5091 7.7610
Tm 2.6074 4.0410 0.4882
Tm 2.6074 4.0410 4.6859
Tm 2.6074 2.3469 7.7610
Tm 2.6074 0.0000 0.0000
Tm 2.6074 0.0000 5.1740
Tm 2.6074 -2.3469 2.5870
Tm 2.6074 -4.0410 5.6622
Tm 2.6074 -4.0410 9.8599
Tm 2.6074 -9.5091 2.5870
Sc 2.6074 7.4213 0.3911
Sc 2.6074 7.4213 4.7829
Sc 2.6074 -7.4213 5.5652
Sc 2.6074 -7.4213 9.9569
In 2.6074 1.8009 2.5870
In 2.6074 -1.8009 7.7610
```

Computed properties:
The calculation puts the energy of formation from the pure elements at 0.025 eV/atom. The symmetry is Cmcm.